(1)
DFT (PBE-GGA) results for crystalline CrSnAs2 at its relaxed geometry.

Calculated values
Space-group type: R-3m, No. 166

a b c (Å): 3.0804 3.0804 10.7592
angles (deg): 81.77 81.77 60.00
With the nearest neighbours (Å) after each atom.
Sites, in units of the cell vectors:
1 Sn 0.5000 0.5000 0.5000  6 Sn 3.08, 6 As 3.33
2 As 0.9217 0.9217 0.2348  1 Cr 2.49
3 Cr 0.0000 0.0000 0.0000  2 As 2.49
4 As 0.0783 0.0783 0.7652  1 Cr 2.49

---

(2)
DFT (PBE-GGA) results for crystalline Ti2CrSnAs at its relaxed geometry.

Calculated values
Space-group type: P4/mmm, No. 123

a b c (Å): 4.6618 4.4784 4.6618
angles (deg): 90.00 90.00 90.00
With the nearest neighbours (Å) after each atom.
Sites, in units of the cell vectors:
1 Cr 0.0000 0.0000 0.0000  2 As 2.24, 4 Ti 2.33
2 As 0.0000 0.5000 0.0000  2 Cr 2.24
3 Ti 0.5000 0.0000 0.0000  2 Cr 2.33
4 Ti 0.0000 0.0000 0.5000  2 Cr 2.33
5 Sn 0.5000 0.5000 0.5000  8 Ti 3.23, 4 As 3.30

---

(3)
DFT (PBE-GGA) results for crystalline SrCr2As at its relaxed geometry.

Calculated values
Space-group type: Imm2, No. 44

a b c (Å): 5.1537 5.1537 5.1537
angles (deg): 129.22 111.67 89.91
With the nearest neighbours (Å) after each atom.
Sites, in units of the cell vectors:
1 Cr 0.8163 0.3163 0.5000  1 As 2.64, 2 Cr 2.65
2 Sr 0.4894 0.4894 0.0000  5 Cr 3.16-3.45, 4 As 3.17-3.21
3 Cr 0.0161 0.0161 0.0000  2 As 2.51, 2 Cr 2.65
4 As 0.1781 0.6781 0.5000  3 Cr 2.51-2.64

---

(4)
DFT (PBE-GGA) results for crystalline SrCr4As at its relaxed geometry.

Calculated values
Space-group type: F-43m, No. 216

a b c (Å): 5.1098 5.1098 5.1098
angles (deg): 60.00 60.00 60.00
With the nearest neighbours (Å) after each atom.
Sites, in units of the cell vectors:
1 Sr 0.7500 0.7500 0.7500  12 Cr 3.01, 4 As 3.13
2 Cr 0.3680 0.8959 0.3680  6 Cr 2.41-2.70
3 Cr 0.3680 0.3680 0.3680  6 Cr 2.41-2.70
4 As 0.0000 0.0000 0.0000  12 Cr 2.98, 4 Sr 3.13
5 Cr 0.8959 0.3680 0.3680  6 Cr 2.41-2.70
6 Cr 0.3680 0.3680 0.8959  6 Cr 2.41-2.70

---

(5)
DFT (PBE-GGA) results for crystalline SrCr2As at its relaxed geometry.

Calculated values
Space-group type: R3m, No. 160

a b c (Å): 4.2899 4.2899 6.1062
angles (deg): 69.41 69.41 60.01
With the nearest neighbours (Å) after each atom.
Sites, in units of the cell vectors:
1 Cr 0.9950 0.9950 0.0149  3 Cr 2.51, 3 As 2.55
2 Sr 0.5029 0.5029 0.4917  4 As 3.26-3.39, 7 Cr 3.32-3.64
3 As 0.6975 0.6975 0.9076  6 Cr 2.55-2.67
4 Cr 0.3046 0.3046 0.0858  3 Cr 2.51, 3 As 2.67

---

(6)
DFT (PBE-GGA) results for crystalline Sr2CrAs at its relaxed geometry.

Calculated values
Space-group type: I-42d, No. 122

a b c (Å): 8.6245 8.6245 7.1494
angles (deg): 52.90 52.90 90.00
With the nearest neighbours (Å) after each atom.
Sites, in units of the cell vectors:
1 Sr 0.0887 0.6250 0.2500  2 As 2.99
2 Sr 0.6613 0.1250 0.2500  2 As 2.99
3 As 0.7500 0.2500 0.5000  4 Sr 2.99
4 Cr 0.5000 0.5000 0.0000  4 Sr 3.41, 2 As 3.73
5 Sr 0.8750 0.9113 0.7500  2 As 2.99
6 As 0.0000 0.0000 0.0000  4 Sr 2.99
7 Cr 0.2500 0.7500 0.5000  4 Sr 3.41, 2 As 3.73
8 Sr 0.3750 0.3387 0.7500  2 As 2.99

---

(7)
DFT (PBE-GGA) results for crystalline SrCr2As at its relaxed geometry.

Calculated values
Space-group type: P4/mmm, No. 123

a b c (Å): 4.6008 4.4202 4.4202
angles (deg): 90.00 90.00 90.00
With the nearest neighbours (Å) after each atom.
Sites, in units of the cell vectors:
1 Cr 0.0000 0.0000 0.0000  4 Cr 3.13, 4 As 3.19, 4 Sr 3.19
2 As 0.5000 0.0000 0.5000  4 Sr 3.13, 8 Cr 3.19
3 Cr 0.0000 0.5000 0.5000  4 Cr 3.13, 4 Sr 3.19, 4 As 3.19
4 Sr 0.5000 0.5000 0.0000  4 As 3.13, 8 Cr 3.19

---

(8)
DFT (PBE-GGA) results for crystalline Sr2CrAs at its relaxed geometry.

Calculated values
Space-group type: C2/m, No. 12

a b c (Å): 4.5897 4.5897 8.4903
angles (deg): 74.38 74.38 59.95
With the nearest neighbours (Å) after each atom.
Sites, in units of the cell vectors:
1 Sr 0.9819 0.9819 0.0536  3 As 3.09
2 As 0.2500 0.2500 0.2500  6 Sr 3.09
3 Sr 0.5181 0.5181 0.4464  3 As 3.09
4 Cr 0.7500 0.7500 0.7500  6 Sr 3.61

---

(9)
DFT (PBE-GGA) results for crystalline SrCr2As at its relaxed geometry.

Calculated values
Space-group type: C2/m, No. 12

a b c (Å): 6.1190 6.1190 3.1862
angles (deg): 75.06 75.06 119.34
With the nearest neighbours (Å) after each atom.
Sites, in units of the cell vectors:
1 Cr 0.0000 0.0000 0.0000  2 Sr 3.06, 2 As 3.06, 6 Cr 3.09-3.19
2 Sr 0.5000 0.0000 0.5000  4 Cr 3.06, 4 As 3.09-3.11, 2 Sr 3.19
3 Cr 0.5000 0.5000 0.0000  2 As 3.06, 2 Sr 3.06, 6 Cr 3.09-3.19
4 As 0.0000 0.5000 0.5000  4 Cr 3.06, 4 Sr 3.09-3.11, 2 As 3.19

---

(10)
DFT (PBE-GGA) results for crystalline SrCrAs2 at its relaxed geometry.

Calculated values
Space-group type: Cmmm, No. 65

a b c (Å): 4.8175 4.8175 3.9238
angles (deg): 90.00 90.00 100.51
With the nearest neighbours (Å) after each atom.
Sites, in units of the cell vectors:
1 As 0.0000 0.0000 0.0000  2 As 3.08, 4 Sr 3.11, 4 Cr 3.11
2 Sr 0.0000 0.5000 0.5000  2 Cr 3.08, 8 As 3.11
3 Cr 0.5000 0.0000 0.5000  2 Sr 3.08, 8 As 3.11
4 As 0.5000 0.5000 0.0000  2 As 3.08, 4 Cr 3.11, 4 Sr 3.11

---

(11)
DFT (PBE-GGA) results for crystalline SrCr2As at its relaxed geometry.

Calculated values
Space-group type: Immm, No. 71

a b c (Å): 5.9094 5.9094 5.9094
angles (deg): 145.03 126.87 65.20
With the nearest neighbours (Å) after each atom.
Sites, in units of the cell vectors:
1 Cr 0.4427 0.4427 0.0000  2 As 2.61
2 Cr 0.0573 0.0573 0.0000  2 As 2.61
3 Sr 0.7500 0.2500 0.5000  4 As 3.18, 8 Cr 3.27-3.54, 2 Sr 3.55
4 As 0.2500 0.7500 0.5000  4 Cr 2.61

---

(12)
DFT (PBE-GGA) results for crystalline SrCrAs at its relaxed geometry.

Calculated values
Space-group type: I4mm, No. 107

a b c (Å): 6.1938 6.1937 3.5589
angles (deg): 73.31 73.30 33.39
With the nearest neighbours (Å) after each atom.
Sites, in units of the cell vectors:
1 Cr 0.3865 0.3865 0.6135  4 As 2.63
2 As 0.9527 0.9527 0.0473  4 Cr 2.63
3 Sr 0.6608 0.6608 0.3392  1 Cr 3.10, 5 As 3.30-3.45

---

(13)
DFT (PBE-GGA) results for crystalline SrCrAs2 at its relaxed geometry.

Calculated values
Space-group type: Fm-3m, No. 225

a b c (Å): 4.9847 4.9847 4.9847
angles (deg): 60.00 60.00 60.00
With the nearest neighbours (Å) after each atom.
Sites, in units of the cell vectors:
1 As 0.2500 0.2500 0.2500  4 Cr 3.05, 4 Sr 3.05
2 Cr 0.0000 0.0000 0.0000  8 As 3.05
3 Sr 0.5000 0.5000 0.5000  8 As 3.05
4 As 0.7500 0.7500 0.7500  4 Sr 3.05, 4 Cr 3.05

---

(14)
DFT (PBE-GGA) results for crystalline SrCrAs3 at its relaxed geometry.

Calculated values
Space-group type: Pm-3m, No. 221

a b c (Å): 4.8054 4.8054 4.8054
angles (deg): 90.00 90.00 90.00
With the nearest neighbours (Å) after each atom.
Sites, in units of the cell vectors:
1 As 0.5000 0.0000 0.0000  2 Cr 2.40
2 Cr 0.0000 0.0000 0.0000  6 As 2.40
3 As 0.0000 0.5000 0.0000  2 Cr 2.40
4 As 0.0000 0.0000 0.5000  2 Cr 2.40
5 Sr 0.5000 0.5000 0.5000  12 As 3.40

---

(15)
DFT (PBE-GGA) results for crystalline Sr2CrAs at its relaxed geometry.

Calculated values
Space-group type: Imm2, No. 44

a b c (Å): 7.3143 7.3143 7.3143
angles (deg): 147.61 142.31 50.52
With the nearest neighbours (Å) after each atom.
Sites, in units of the cell vectors:
1 Sr 0.0058 0.0058 0.0000  4 As 3.27, 2 Cr 3.42
2 Sr 0.7433 0.2433 0.5000  4 Cr 3.28, 2 As 3.44
3 Cr 0.3186 0.8186 0.5000  2 As 2.53
4 As 0.4323 0.4323 0.0000  2 Cr 2.53

---

(16)
DFT (PBE-GGA) results for crystalline SrCr2As at its relaxed geometry.

Calculated values
Space-group type: F-43m, No. 216

a b c (Å): 5.0716 5.0716 5.0716
angles (deg): 60.00 60.00 60.00
With the nearest neighbours (Å) after each atom.
Sites, in units of the cell vectors:
1 As 0.5000 0.5000 0.5000  4 Cr 3.11, 4 Sr 3.11
2 Cr 0.0000 0.0000 0.0000  4 Sr 3.11, 4 Cr 3.11
3 Cr 0.2500 0.2500 0.2500  4 Cr 3.11, 4 As 3.11
4 Sr 0.7500 0.7500 0.7500  4 Cr 3.11, 4 As 3.11

---

(17)
DFT (PBE-GGA) results for crystalline SrCr3As at its relaxed geometry.

Calculated values
Space-group type: Pm-3m, No. 221

a b c (Å): 5.4477 5.4477 5.4477
angles (deg): 90.00 90.00 90.00
With the nearest neighbours (Å) after each atom.
Sites, in units of the cell vectors:
1 Sr 0.0000 0.0000 0.0000  6 Cr 2.72
2 Cr 0.0000 0.0000 0.5000  2 Sr 2.72
3 As 0.5000 0.5000 0.5000  12 Cr 3.85
4 Cr 0.5000 0.0000 0.0000  2 Sr 2.72
5 Cr 0.0000 0.5000 0.0000  2 Sr 2.72

---

(18)
DFT (PBE-GGA) results for crystalline SrCr2As at its relaxed geometry.

Calculated values
Space-group type: P4/mmm, No. 123

a b c (Å): 3.4659 3.4659 6.6209
angles (deg): 90.00 90.00 90.00
With the nearest neighbours (Å) after each atom.
Sites, in units of the cell vectors:
1 Cr 0.0000 0.0000 0.6020  1 Cr 1.96
2 Cr 0.0000 0.0000 0.8980  1 Cr 1.96
3 Sr 0.5000 0.5000 0.2500  2 As 3.31, 8 Cr 3.38, 4 Sr 3.47
4 As 0.5000 0.5000 0.7500  8 Cr 2.64

---

(19)
DFT (PBE-GGA) results for crystalline SrCr2As at its relaxed geometry.

Calculated values
Space-group type: P2/m, No. 10

a b c (Å): 4.6528 4.0429 4.7719
angles (deg): 84.35 90.00 90.00
With the nearest neighbours (Å) after each atom.
Sites, in units of the cell vectors:
1 Sr 0.5000 0.2500 0.2500  4 As 2.97-3.28, 4 Cr 3.31
2 Cr 0.0000 0.5916 0.6233  1 Cr 1.85
3 As 0.5000 0.7500 0.7500  4 Cr 2.50
4 Cr 0.0000 0.9084 0.8767  1 Cr 1.85

---

(20)
DFT (PBE-GGA) results for crystalline SrCr2As at its relaxed geometry.

Calculated values
Space-group type: I4/mmm, No. 139

a b c (Å): 5.6352 5.6352 5.6352
angles (deg): 133.83 133.83 67.35
With the nearest neighbours (Å) after each atom.
Sites, in units of the cell vectors:
1 Cr 0.0000 0.0000 0.0000  4 Cr 3.12, 4 As 3.22, 4 Sr 3.22
2 Sr 0.2500 0.7500 0.5000  4 As 3.12, 8 Cr 3.22
3 As 0.7500 0.2500 0.5000  4 Sr 3.12, 8 Cr 3.22
4 Cr 0.5000 0.5000 0.0000  4 Cr 3.12, 4 Sr 3.22, 4 As 3.22

---

So what do the calculations give for volume? Going down the list: 21.80; 19.46; 23.33; 15.72; 22.24; 34.69; 22.47; 36.79; 22.36; 22.38; 23.36; 23.89; 21.89; 22.19; 31.88; 23.06; 32.33; 19.88; 22.33; 22.89 Å³ per atom.
So what do the calculations give for energy of formation from the pure elements? Going down the list: 0.574; 0.283; 0.216; 0.767; -0.126; 0.139; 0.443; -0.067; 0.645; -0.112; 0.408; -0.100; -0.150; -0.208; -0.163; 0.543; 2.323; 0.444; 0.367; 0.540 eV per atom.